Entry from Alexandria: an optimized crystal structure of ErNp2UAs4 (PBE-GGA).

Summary:
The calculation puts the formation enthalpy at 0 K at -0.875 eV per atom. As for the space group: P2/m, No. 10.

Lattice parameters (Å, degrees): 4.0867 7.0830 7.0787 109.51 90.00 90.00
Last column: nearest neighbours and their distance in Å.
Element x y z (fractional)
As 0.0000 0.7507 0.2480  1 U 2.88, 2 Er 2.89, 3 Np 2.89-2.91
As 0.5000 0.7501 0.7523  1 Er 2.88, 2 U 2.88, 3 Np 2.90
As 0.5000 0.2499 0.2477  1 Er 2.88, 2 U 2.88, 3 Np 2.90
As 0.0000 0.2493 0.7520  1 U 2.88, 2 Er 2.89, 3 Np 2.89-2.91
Np 0.0000 0.5000 0.5000  6 As 2.90-2.91
Np 0.5000 0.0000 0.5000  6 As 2.89-2.90
Er 0.5000 0.5000 0.0000  6 As 2.88-2.89
U 0.0000 0.0000 0.0000  6 As 2.88